RbTcPdW2 | PBE | optimized geometry

Unit cell a=4.7890 b=5.3028 c=4.7890 alpha=90.00 beta=90.00 gamma=90.00
Last column: nearest neighbours and their distance in Å.
Element x y z (fractional)
1 W 0.0000 0.0000 0.5000  2 Tc 2.39
2 Rb 0.5000 0.5000 0.5000  4 Pd 3.39, 8 W 3.57
3 Tc 0.0000 0.0000 0.0000  4 W 2.39, 2 Pd 2.65
4 Pd 0.0000 0.5000 0.0000  2 Tc 2.65
5 W 0.5000 0.0000 0.0000  2 Tc 2.39

Values from the calculation:
**Symmetry**: P4/mmm, No. 123
**ΔH_f (0 K)**: 1.681 eV/atom

=====

Rb2TePd2 | PBE | optimized geometry

Unit cell a=9.5849 b=9.5849 c=3.2298 alpha=90.00 beta=90.00 gamma=90.00
Last column: nearest neighbours and their distance in Å.
Element x y z (fractional)
1 Te 0.0000 0.0000 0.0000  2 Te 3.23
2 Pd 0.3314 0.1686 0.5000  6 Rb 3.11-3.35, 2 Pd 3.23
3 Rb 0.8646 0.6354 0.0000  6 Pd 3.11-3.35, 2 Rb 3.23
4 Pd 0.1686 0.6686 0.5000  6 Rb 3.11-3.35, 2 Pd 3.23
5 Rb 0.6354 0.1354 0.0000  6 Pd 3.11-3.35, 2 Rb 3.23
6 Te 0.5000 0.5000 0.0000  2 Te 3.23
7 Pd 0.6686 0.8314 0.5000  6 Rb 3.11-3.35, 2 Pd 3.23
8 Rb 0.3646 0.8646 0.0000  6 Pd 3.11-3.35, 2 Rb 3.23
9 Rb 0.1354 0.3646 0.0000  6 Pd 3.11-3.35, 2 Rb 3.23
10 Pd 0.8314 0.3314 0.5000  6 Rb 3.11-3.35, 2 Pd 3.23

Values from the calculation:
**Offset from the most stable computed form**: 312 kJ/mol of formula units
**Formation energy without anion corrections**: 35.6 kJ/mol of atoms
**Symmetry**: P4/mbm, No. 127

=====

RbTe6Pd12 | PBE | optimized geometry

Unit cell a=7.6145 b=7.6145 c=7.6145 alpha=96.54 beta=96.54 gamma=96.54
Last column: nearest neighbours and their distance in Å.
Element x y z (fractional)
1 Te 0.2138 0.2138 0.6578  7 Pd 2.64-2.87
2 Pd 0.1899 0.5068 0.5068  3 Te 2.64-2.87, 3 Pd 2.87
3 Pd 0.1284 0.5000 0.8716  4 Te 2.72-2.75, 3 Pd 2.87-2.92
4 Pd 0.1284 0.8716 0.5000  4 Te 2.72-2.75, 3 Pd 2.87-2.92
5 Pd 0.5000 0.8716 0.1284  4 Te 2.72-2.75, 3 Pd 2.87-2.92
6 Pd 0.8716 0.1284 0.5000  4 Te 2.72-2.75, 3 Pd 2.87-2.92
7 Te 0.7862 0.3422 0.7862  7 Pd 2.64-2.87
8 Pd 0.8101 0.4932 0.4932  3 Te 2.64-2.87, 3 Pd 2.87
9 Pd 0.5000 0.1284 0.8716  4 Te 2.72-2.75, 3 Pd 2.87-2.92
10 Te 0.7862 0.7862 0.3422  7 Pd 2.64-2.87
11 Te 0.6578 0.2138 0.2138  7 Pd 2.64-2.87
12 Pd 0.5068 0.1899 0.5068  3 Te 2.64-2.87, 3 Pd 2.87
13 Pd 0.5068 0.5068 0.1899  3 Te 2.64-2.87, 3 Pd 2.87
14 Pd 0.8716 0.5000 0.1284  4 Te 2.72-2.75, 3 Pd 2.87-2.92
15 Te 0.2138 0.6578 0.2138  7 Pd 2.64-2.87
16 Rb 0.0000 0.0000 0.0000  6 Te 3.66, 12 Pd 4.08
17 Pd 0.4932 0.4932 0.8101  3 Te 2.64-2.87, 3 Pd 2.87
18 Pd 0.4932 0.8101 0.4932  3 Te 2.64-2.87, 3 Pd 2.87
19 Te 0.3422 0.7862 0.7862  7 Pd 2.64-2.87

Values from the calculation:
**Formation energy without anion corrections**: -23.6 kJ/mol of atoms
**Symmetry**: R-3m, No. 166

=====

Rb3Te2Pd | PBE | optimized geometry

Unit cell a=9.0758 b=7.5118 c=9.3763 alpha=113.61 beta=118.95 gamma=90.00
Last column: nearest neighbours and their distance in Å.
Element x y z (fractional)
1 Rb 0.9985 0.1733 0.3467  2 Pd 3.53, 3 Te 3.54-3.76
2 Te 0.1037 0.4156 0.8312  2 Pd 2.82
3 Rb 0.0015 0.8267 0.6533  2 Pd 3.53, 3 Te 3.54-3.76
4 Pd 0.0000 0.7500 0.0000  4 Te 2.82
5 Te 0.8963 0.5844 0.1688  2 Pd 2.82
6 Rb 0.3482 0.6733 0.3467  2 Pd 3.53, 3 Te 3.54-3.76
7 Rb 0.5000 0.2500 0.0000  4 Te 3.61, 2 Rb 3.76
8 Te 0.7275 0.9156 0.8312  2 Pd 2.82
9 Te 0.2725 0.0844 0.1688  2 Pd 2.82
10 Rb 0.5000 0.7500 0.0000  4 Te 3.61, 2 Rb 3.76
11 Pd 0.0000 0.2500 0.0000  4 Te 2.82
12 Rb 0.6518 0.3267 0.6533  2 Pd 3.53, 3 Te 3.54-3.76

Values from the calculation:
**Formation energy without anion corrections**: -63.9 kJ/mol of atoms
**Symmetry**: Ibam, No. 72

=====

Rb2Te3Pd | PBE | optimized geometry

Unit cell a=6.5898 b=8.7529 c=8.7529 alpha=110.87 beta=90.00 gamma=90.00
Last column: nearest neighbours and their distance in Å.
Element x y z (fractional)
1 Te 0.7605 0.6561 0.6561  1 Pd 2.77
2 Rb 0.2594 0.5199 0.8047  7 Te 3.73-3.92, 1 Rb 4.11
3 Pd 0.7635 0.9354 0.9354  5 Te 2.67-2.77
4 Rb 0.2594 0.8047 0.5199  7 Te 3.73-3.92, 1 Rb 4.11
5 Te 0.5125 0.1370 0.8593  2 Pd 2.67
6 Rb 0.7594 0.1953 0.4801  7 Te 3.73-3.92, 1 Rb 4.11
7 Pd 0.2635 0.0646 0.0646  5 Te 2.67-2.77
8 Te 0.0125 0.1407 0.8630  2 Pd 2.67
9 Te 0.2605 0.3439 0.3439  1 Pd 2.77
10 Te 0.0125 0.8630 0.1407  2 Pd 2.67
11 Te 0.5125 0.8593 0.1370  2 Pd 2.67
12 Rb 0.7594 0.4801 0.1953  7 Te 3.73-3.92, 1 Rb 4.11

Values from the calculation:
**Formation energy without anion corrections**: -55.0 kJ/mol of atoms
**Symmetry**: Cmc2_1, No. 36

=====

RbTe3Pd | PBE | optimized geometry

Unit cell a=5.2702 b=8.2778 c=8.6862 alpha=103.25 beta=90.00 gamma=108.56
Last column: nearest neighbours and their distance in Å.
Element x y z (fractional)
1 Rb 0.6758 0.3516 0.3269  3 Te 3.43-3.56
2 Te 0.2970 0.5940 0.1062  3 Pd 2.73-2.86
3 Te 0.9098 0.8196 0.4237  1 Pd 2.76, 1 Te 2.82
4 Te 0.9531 0.9063 0.8423  2 Pd 2.76-2.86, 1 Te 2.78
5 Te 0.7030 0.4060 0.8938  3 Pd 2.73-2.86
6 Te 0.0469 0.0937 0.1577  2 Pd 2.76-2.86, 1 Te 2.78
7 Rb 0.3242 0.6484 0.6731  3 Te 3.43-3.56
8 Te 0.0902 0.1804 0.5763  1 Pd 2.76, 1 Te 2.82
9 Pd 0.8661 0.7323 0.0961  6 Te 2.73-2.86
10 Pd 0.1339 0.2677 0.9039  6 Te 2.73-2.86

Values from the calculation:
**Formation energy without anion corrections**: -36.6 kJ/mol of atoms
**Symmetry**: C2/m, No. 12

=====

RbTePd2 | PBE | optimized geometry

Unit cell a=4.6880 b=4.6880 c=6.6593 alpha=69.39 beta=69.39 gamma=60.00
Last column: nearest neighbours and their distance in Å.
Element x y z (fractional)
1 Pd 0.6861 0.6861 0.9416  3 Te 2.73, 3 Pd 2.80
2 Rb 0.5000 0.5000 0.5000  2 Pd 3.40
3 Pd 0.3139 0.3139 0.0584  3 Te 2.73, 3 Pd 2.80
4 Te 0.0000 0.0000 0.0000  6 Pd 2.73

Values from the calculation:
**Formation energy without anion corrections**: -42.1 kJ/mol of atoms
**Symmetry**: R-3m, No. 166

=====

RbTe3Pd | PBE | optimized geometry

Unit cell a=5.4578 b=5.4578 c=5.4578 alpha=90.00 beta=90.00 gamma=90.00
Last column: nearest neighbours and their distance in Å.
Element x y z (fractional)
1 Rb 0.5000 0.5000 0.5000  12 Te 3.86
2 Te 0.5000 0.0000 0.0000  2 Pd 2.73
3 Te 0.0000 0.0000 0.5000  2 Pd 2.73
4 Pd 0.0000 0.0000 0.0000  6 Te 2.73
5 Te 0.0000 0.5000 0.0000  2 Pd 2.73

Values from the calculation:
**Formation energy without anion corrections**: -23.8 kJ/mol of atoms
**Symmetry**: Pm-3m, No. 221

=====

RbTe2Pd5 | PBE | optimized geometry

Unit cell a=4.4047 b=6.8548 c=6.8548 alpha=66.77 beta=71.26 gamma=71.26
Last column: nearest neighbours and their distance in Å.
Element x y z (fractional)
1 Te 0.2420 0.2580 0.2580  7 Pd 2.56-2.78
2 Pd 0.3507 0.4660 0.8325  3 Te 2.65-2.78, 1 Pd 2.77
3 Rb 0.0000 0.0000 0.0000  4 Te 3.50, 10 Pd 3.61-3.77
4 Te 0.7580 0.7420 0.7420  7 Pd 2.56-2.78
5 Pd 0.6493 0.5340 0.1675  3 Te 2.65-2.78, 1 Pd 2.77
6 Pd 0.0000 0.5000 0.5000  2 Te 2.56
7 Pd 0.6493 0.1675 0.5340  3 Te 2.65-2.78, 1 Pd 2.77
8 Pd 0.3507 0.8325 0.4660  3 Te 2.65-2.78, 1 Pd 2.77

Values from the calculation:
**Formation energy without anion corrections**: -28.6 kJ/mol of atoms
**Symmetry**: Immm, No. 71

=====

RbTePd2 | PBE | optimized geometry

Unit cell a=4.7804 b=8.0434 c=7.4746 alpha=90.00 beta=90.00 gamma=126.40
Last column: nearest neighbours and their distance in Å.
Element x y z (fractional)
1 Pd 0.6647 0.4146 0.5648  3 Te 2.67-2.77, 3 Pd 2.77-2.81
2 Pd 0.3353 0.5854 0.4352  3 Te 2.67-2.77, 3 Pd 2.77-2.81
3 Rb 0.1448 0.8943 0.7500  4 Pd 3.40-3.64
4 Pd 0.3353 0.5854 0.0648  3 Te 2.67-2.77, 3 Pd 2.77-2.81
5 Te 0.8605 0.6107 0.2500  6 Pd 2.67-2.77
6 Rb 0.8552 0.1057 0.2500  4 Pd 3.40-3.64
7 Pd 0.6647 0.4146 0.9352  3 Te 2.67-2.77, 3 Pd 2.77-2.81
8 Te 0.1395 0.3893 0.7500  6 Pd 2.67-2.77

Values from the calculation:
**Formation energy without anion corrections**: -46.0 kJ/mol of atoms
**Symmetry**: P2_1/m, No. 11

=====

RbTe2Pd2 | PBE | optimized geometry

Unit cell a=5.2024 b=5.2024 c=6.8117 alpha=67.55 beta=67.55 gamma=90.00
Last column: nearest neighbours and their distance in Å.
Element x y z (fractional)
1 Rb 0.0000 0.0000 0.0000  2 Pd 3.63, 8 Te 3.87
2 Pd 0.3170 0.3170 0.3660  4 Te 2.71
3 Pd 0.6830 0.6830 0.6340  4 Te 2.71
4 Te 0.2500 0.7500 0.5000  4 Pd 2.71
5 Te 0.7500 0.2500 0.5000  4 Pd 2.71

Values from the calculation:
**Offset from the most stable computed form**: 31 kJ/mol of formula units
**Formation energy without anion corrections**: -44.8 kJ/mol of atoms
**Symmetry**: I4/mmm, No. 139

=====

Rb2TePd2 | PBE | optimized geometry

Unit cell a=3.7538 b=3.7538 c=11.3808 alpha=80.51 beta=80.51 gamma=90.00
Last column: nearest neighbours and their distance in Å.
Element x y z (fractional)
1 Te 0.0000 0.0000 0.0000  8 Rb 3.71, 4 Te 3.75
2 Rb 0.6169 0.6169 0.7661  4 Pd 3.49, 4 Te 3.71, 4 Rb 3.75
3 Rb 0.3831 0.3831 0.2339  4 Pd 3.49, 4 Te 3.71, 4 Rb 3.75
4 Pd 0.2500 0.7500 0.5000  4 Pd 2.65
5 Pd 0.7500 0.2500 0.5000  4 Pd 2.65

Values from the calculation:
**Offset from the most stable computed form**: 65 kJ/mol of formula units
**Formation energy without anion corrections**: -13.7 kJ/mol of atoms
**Symmetry**: I4/mmm, No. 139